[1]
Below is Ag4OF after structural relaxation, with properties calculated at the PBE level.

The space group is P2/m (No. 10) and the conventional cell measures 5.442, 3.075 and 5.764 Å, with angles of 90.00, 108.25 and 90.00 degrees. Symmetry generates all atoms from Ag at (0.224, 0.000, 0.202), Ag at (0.253, 0.500, 0.790), O at (0.000, 0.000, 0.500) and F at (0.500, 0.500, 0.500).

Its total DFT energy (no corrections) is -20.1 eV for the cell shown. The value obtained for the energy relative to the elements, uncorrected is -313 meV per atom. The value obtained for the total magnetic moment is 0.1 μB/f.u. As for the distance to the lowest polymorph of the same formula: 0 meV per atom.

---

[2]
Below is AlHSe2 after structural relaxation, with properties calculated at the PBE level.

The space group is I4/mcm (No. 140) and the conventional cell measures 6.367, 6.367 and 6.041 Å, with angles of 90.00, 90.00 and 90.00 degrees. Symmetry generates all atoms from Al at (0.000, 0.000, 0.250), H at (0.000, 0.500, 0.250) and Se at (0.174, 0.326, 0.000).

Its total DFT energy (no corrections) is -52.5 eV for the cell shown. The value obtained for the total magnetic moment is 0.0 μB/f.u. As for the distance to the lowest polymorph of the same formula: 783 meV per atom.

---

[3]
Below is NiAg2Os after structural relaxation, with properties calculated at the PBE level.

The space group is P2/m (No. 10) and the conventional cell measures 2.648, 4.806 and 4.815 Å, with angles of 90.00, 92.57 and 90.00 degrees. Symmetry generates all atoms from Ni at (0.000, 0.000, 0.000), Ag at (0.229, 0.500, 0.753) and Os at (0.500, 0.000, 0.500).

Its total DFT energy (no corrections) is -20.3 eV for the cell shown. The value obtained for the total magnetic moment is 0.9 μB/f.u. The formation energy is 610 meV per atom. As for the distance to the lowest polymorph of the same formula: 296 meV per atom.

---

[4]
Below is Tm5MgIn3 after structural relaxation, with properties calculated at the PBE level.

The space group is P6_3/mcm (No. 193) and the conventional cell measures 9.1664, 9.1664 and 6.5379 Å, with angles of 90.00, 90.00 and 120.00 degrees. Symmetry generates all atoms from Tm at (0.0000, 0.3063, 0.2500), Tm at (0.3333, 0.6667, 0.0000), Mg at (0.0000, 0.0000, 0.0000) and In at (0.0000, 0.3569, 0.7500).

Its total DFT energy (no corrections) is -70.7 eV for the cell shown. The value obtained for the total magnetic moment is 0.0 μB/f.u. The formation energy is -355 meV per atom.

---

[5]
Below is ScBeFe2 after structural relaxation, with properties calculated at the PBE level.

The space group is R3m (No. 160, hexagonal axes) and the conventional cell measures 2.8948, 2.8948 and 22.9056 Å, with angles of 90.00, 90.00 and 120.00 degrees. Symmetry generates all atoms from Sc at (0.0000, 0.0000, 0.0000), Be at (0.0000, 0.0000, 0.2414), Fe at (0.0000, 0.0000, 0.5068) and Fe at (0.0000, 0.0000, 0.7627).

Its total DFT energy (no corrections) is -77.0 eV for the cell shown. The value obtained for the total magnetic moment is 4.6 μB/f.u. The formation energy is 328 meV per atom.

---

[6]
Below is AcGePdAu after structural relaxation, with properties calculated at the PBE level.

The space group is F-43m (No. 216) and the conventional cell measures 7.192, 7.192 and 7.192 Å, with angles of 90.00, 90.00 and 90.00 degrees. Symmetry generates all atoms from Ac at (0.000, 0.000, 0.000), Ge at (0.000, 0.000, 0.500), Pd at (0.250, 0.250, 0.250) and Au at (0.250, 0.250, 0.750).

Its total DFT energy (no corrections) is -76.6 eV for the cell shown. The value obtained for the total magnetic moment is 0.0 μB/f.u. The formation energy is -490 meV per atom. As for the distance to the lowest polymorph of the same formula: 257 meV per atom.

---

[7]
Below is Al2VFe3 after structural relaxation, with properties calculated at the PBE level.

The space group is Cmmm (No. 65) and the conventional cell measures 4.042, 12.109 and 5.718 Å, with angles of 90.00, 90.00 and 90.00 degrees. Symmetry generates all atoms from Al at (0.000, 0.000, 0.000), Al at (0.000, 0.000, 0.500), Al at (0.000, 0.333, 0.000), V at (0.000, 0.337, 0.500), Fe at (0.000, 0.169, 0.257) and Fe at (0.000, 0.500, 0.252).

Its total DFT energy (no corrections) is -177.3 eV for the cell shown. The value obtained for the total magnetic moment is 0.1 μB/f.u. The formation energy is -388 meV per atom.

---

[8]
Below is Mo5Ir after structural relaxation, with properties calculated at the PBE level.

The space group is Cm (No. 8) and the conventional cell measures 10.541, 2.695 and 6.884 Å, with angles of 90.00, 104.83 and 90.00 degrees. Symmetry generates all atoms from Mo at (0.000, 0.000, 0.000), Mo at (0.056, 0.000, 0.639), Mo at (0.165, 0.500, 0.355), Mo at (0.234, 0.500, 0.960), Mo at (0.394, 0.000, 0.302) and Ir at (0.333, 0.000, 0.679).

Its total DFT energy (no corrections) is -124.4 eV for the cell shown. The value obtained for the total magnetic moment is 0.0 μB/f.u. The formation energy is 133 meV per atom. As for the distance to the lowest polymorph of the same formula: 75 meV per atom.